# 1
DFT (GGA-PBE) results for an optimized crystal structure of CaGa12Pd6.

Output
The calculation puts the total energy at -235.99 eV/cell. The value obtained for the spin magnetization is 0.0000 μB/atom. The calculation puts the density of states at the Fermi level at 0.348 states/eV per atom.

abc: 11.3943 11.3943 8.9280
angles: 90.00 90.00 120.00
With the nearest neighbours (Å) after each atom.
Space group R-3m (No. 166, hexagonal axes)
Inequivalent atoms, fractional coordinates:
Ca1 0.0000 0.0000 0.0000  6 Ga 3.24
Ga1 0.0000 0.3891 0.5000  4 Pd 2.52-2.71, 3 Ga 2.53-2.79
Ga2 0.0838 0.1675 0.3120  4 Pd 2.57-2.86, 4 Ga 2.79-2.86
Pd1 0.0492 0.5246 0.2364  7 Ga 2.52-2.71

# 2
DFT (GGA-PBE) results for an optimized crystal structure of TbTm3Ni8.

Output
As for the polymorph energy (0 for the lowest one): 0 kJ/mol of formula units. The calculation puts the total energy at -210.18 eV/cell. The value obtained for the spin magnetization is 0.0000 μB/atom. The calculation puts the density of states at the Fermi level at 0.564 states/eV per atom.

abc: 5.0317 5.0317 24.7224
angles: 90.00 90.00 120.00
With the nearest neighbours (Å) after each atom.
Space group R3m (No. 160, hexagonal axes)
Inequivalent atoms, fractional coordinates:
Tb1 0.0000 0.0000 0.0000  12 Ni 2.95-2.97, 4 Tm 3.09-3.10
Tm1 0.0000 0.0000 0.3757  12 Ni 2.95-2.98, 1 Tm 3.08, 3 Tb 3.09
Tm2 0.0000 0.0000 0.5002  12 Ni 2.94-2.95, 4 Tm 3.08
Tm3 0.0000 0.0000 0.8748  12 Ni 2.94-2.95, 3 Tm 3.08, 1 Tb 3.10
Ni1 0.0000 0.0000 0.1877  6 Ni 2.51
Ni2 0.0000 0.0000 0.6878  6 Ni 2.52-2.54
Ni3 0.9997 0.4999 0.9371  6 Ni 2.51-2.54
Ni4 0.0014 0.5007 0.4382  6 Ni 2.51-2.53

no.,energy of formation (meV/atom)
1,-483
2,-480